[1]
The following is a DFT calculation (PBE) of Te6RuRh after structural relaxation.

a = 6.5879 Å, b = 6.6507 Å, c = 6.7378 Å
α = 58.24°, β = 59.54°, γ = 60.15°
With the nearest neighbours (Å) after each atom.
Fractional coordinates of all 8 atoms:
Te: 0.5687 0.2323 0.2726  1 Ru 2.66, 1 Rh 2.68
Te: 0.7182 0.0609 0.7832  1 Ru 2.64, 1 Rh 2.67
Te: 0.9494 0.5485 0.2767  1 Ru 2.66, 1 Rh 2.66
Te: 0.4313 0.7677 0.7274  1 Ru 2.66, 1 Rh 2.68
Te: 0.0506 0.4515 0.7233  1 Ru 2.66, 1 Rh 2.66
Te: 0.2818 0.9391 0.2168  1 Ru 2.64, 1 Rh 2.67
Rh: 0.0000 0.0000 0.0000  6 Te 2.66-2.68
Ru: 0.5000 0.5000 0.5000  6 Te 2.64-2.66

ΔE_f (raw) = -1.7 eV per formula unit

=====

[2]
The following is a DFT calculation (PBE) of TeRu2Rh after structural relaxation.

a = 4.6979 Å, b = 4.6979 Å, c = 4.6979 Å
α = 128.30°, β = 128.30°, γ = 76.13°
With the nearest neighbours (Å) after each atom.
Fractional coordinates of all 4 atoms:
Ru: 0.0000 0.0000 0.0000  4 Te 2.76, 4 Rh 2.76, 4 Ru 2.90
Te: 0.2500 0.7500 0.5000  8 Ru 2.76, 4 Rh 2.90
Rh: 0.7500 0.2500 0.5000  8 Ru 2.76, 4 Te 2.90
Ru: 0.5000 0.5000 0.0000  4 Rh 2.76, 4 Te 2.76, 4 Ru 2.90

ΔE_f (raw) = 0.9 eV per formula unit

=====

[3]
The following is a DFT calculation (PBE) of TeRuRh2 after structural relaxation.

a = 8.8722 Å, b = 8.8722 Å, c = 8.8722 Å
α = 19.18°, β = 19.18°, γ = 19.18°
With the nearest neighbours (Å) after each atom.
Fractional coordinates of all 4 atoms:
Te: 0.7500 0.7500 0.7500  6 Rh 2.83, 6 Te 2.96
Rh: 0.9970 0.9970 0.9970  3 Ru 2.70, 3 Te 2.83, 6 Rh 2.96
Rh: 0.5030 0.5030 0.5030  3 Ru 2.70, 3 Te 2.83, 6 Rh 2.96
Ru: 0.2500 0.2500 0.2500  6 Rh 2.70, 6 Ru 2.96

ΔE_f (raw) = 1.6 eV per formula unit